[1]
DFT (PBE) results for crystalline Pu2AsF at its relaxed geometry.

Cell lengths 4.901, 4.901, 4.901 Å; angles 60.00, 60.00, 60.00 degrees
Positions (direct):
Pu (0.250, 0.250, 0.250)
Pu (0.750, 0.750, 0.750)
As (0.000, 0.000, 0.000)
F (0.500, 0.500, 0.500)

Summary:
Electronic total energy, eV per atom: -10.179
E_form (uncorrected), eV per atom: -1.3833
Theoretical density, g/cm³: 11.61

***

[2]
DFT (PBE) results for crystalline Ho4ErMg7 at its relaxed geometry.

Cell lengths 5.282, 5.282, 13.158 Å; angles 90.00, 90.00, 120.00 degrees
Positions (direct):
Ho (0.333, 0.667, 0.160)
Ho (0.333, 0.667, 0.421)
Ho (0.667, 0.333, 0.579)
Ho (0.667, 0.333, 0.840)
Er (0.000, 0.000, 0.000)
Mg (0.000, 0.000, 0.261)
Mg (0.000, 0.000, 0.500)
Mg (0.000, 0.000, 0.739)
Mg (0.333, 0.667, 0.682)
Mg (0.333, 0.667, 0.917)
Mg (0.667, 0.333, 0.083)
Mg (0.667, 0.333, 0.318)

Summary:
Electronic total energy, eV per atom: -2.855
Theoretical density, g/cm³: 5.21

***

[3]
DFT (PBE) results for crystalline LaTb2YHo5 at its relaxed geometry.

Cell lengths 9.747, 9.747, 9.747 Å; angles 125.64, 125.64, 80.48 degrees
Positions (direct):
La (0.250, 0.250, 0.000)
La (0.750, 0.750, 0.000)
Tb (0.113, 0.613, 0.727)
Tb (0.387, 0.113, 0.500)
Tb (0.613, 0.887, 0.500)
Tb (0.887, 0.387, 0.273)
Y (0.250, 0.750, 0.500)
Y (0.750, 0.250, 0.500)
Ho (0.000, 0.000, 0.000)
Ho (0.075, 0.163, 0.500)
Ho (0.163, 0.663, 0.088)
Ho (0.337, 0.425, 0.500)
Ho (0.425, 0.925, 0.088)
Ho (0.500, 0.500, 0.000)
Ho (0.575, 0.075, 0.912)
Ho (0.663, 0.575, 0.500)
Ho (0.837, 0.337, 0.912)
Ho (0.925, 0.837, 0.500)

Summary:
Electronic total energy, eV per atom: -4.559
Theoretical density, g/cm³: 7.71

***

[4]
DFT (PBE) results for crystalline TiTlPt6 at its relaxed geometry.

Cell lengths 4.013, 4.013, 8.088 Å; angles 90.00, 90.00, 90.00 degrees
Positions (direct):
Ti (0.000, 0.000, 0.000)
Tl (0.000, 0.000, 0.500)
Pt (0.000, 0.500, 0.232)
Pt (0.000, 0.500, 0.768)
Pt (0.500, 0.000, 0.232)
Pt (0.500, 0.000, 0.768)
Pt (0.500, 0.500, 0.000)
Pt (0.500, 0.500, 0.500)

Summary:
Electronic total energy, eV per atom: -6.319
Theoretical density, g/cm³: 18.14